{"formula": "CdHg3", "functional": "GGA-PBEsol", "state": "relaxed", "lattice": [[-2.223, 2.223, 4.486], [2.223, -2.223, 4.486], [2.223, 2.223, -4.486]], "species": ["Cd", "Hg", "Hg", "Hg"], "frac_coords": [[0.000, 0.000, 0.000], [0.250, 0.750, 0.500], [0.500, 0.500, 0.000], [0.750, 0.250, 0.500]], "formation_energy_ev_per_atom": 0.012, "dos_at_fermi_per_ev_cell": 1.5, "space_group": "I4/mmm (139)", "relative_energy_mev_per_atom": 14, "dft_energy_ev_per_fu": -2.850}